## SmErSi (GGA-PBE)

Data for a relaxed structure of SmErSi.

The structure belongs to space group F-43m (No. 216); the cell edges are 6.897, 6.897 and 6.897 Å and the angles 90.00°, 90.00° and 90.00°. Symmetry generates all atoms from Sm at (0.000, 0.000, 0.000), Er at (0.000, 0.000, 0.500) and Si at (0.250, 0.250, 0.250).

The calculation puts the total moment at 0.0 Bohr magnetons per cell. Its uncorrected formation energy is -0.4529 eV/atom.

=====

## SmEr2Zn2Si2 (GGA-PBE)

Data for a relaxed structure of SmEr2Zn2Si2.

The structure belongs to space group R-3m (No. 166, hexagonal axes); the cell edges are 4.0707, 4.0707 and 33.2313 Å and the angles 90.00°, 90.00° and 120.00°. Symmetry generates all atoms from Sm at (0.0000, 0.0000, 0.0000), Er at (0.0000, 0.0000, 0.1231), Zn at (0.0000, 0.0000, 0.3959) and Si at (0.0000, 0.0000, 0.2683).

The calculation puts the total moment at 0.0 Bohr magnetons per cell. Its uncorrected formation energy is -0.4454 eV/atom.

=====

## SmErZnSi (GGA-PBE)

Data for a relaxed structure of SmErZnSi.

The structure belongs to space group Amm2 (No. 38); the cell edges are 4.064, 4.192 and 10.961 Å and the angles 90.00°, 90.00° and 90.00°. Symmetry generates all atoms from Sm at (0.000, 0.000, 0.000), Er at (0.500, 0.000, 0.284), Zn at (0.500, 0.000, 0.578) and Si at (0.000, 0.000, 0.719).

The calculation puts the total moment at 0.2 Bohr magnetons per cell. Its uncorrected formation energy is -0.5488 eV/atom.

=====

## SmErZnSi (GGA-PBE)

Data for a relaxed structure of SmErZnSi.

The structure belongs to space group F-43m (No. 216); the cell edges are 7.082, 7.082 and 7.082 Å and the angles 90.00°, 90.00° and 90.00°. Symmetry generates all atoms from Sm at (0.000, 0.000, 0.000), Er at (0.000, 0.000, 0.500), Zn at (0.250, 0.250, 0.250) and Si at (0.250, 0.250, 0.750).

The calculation puts the total moment at 0.0 Bohr magnetons per cell. Its uncorrected formation energy is -0.4461 eV/atom.

=====

What did the third record say?
## SmErZnSi (GGA-PBE)

Data for a relaxed structure of SmErZnSi.

The structure belongs to space group Amm2 (No. 38); the cell edges are 4.064, 4.192 and 10.961 Å and the angles 90.00°, 90.00° and 90.00°. Symmetry generates all atoms from Sm at (0.000, 0.000, 0.000), Er at (0.500, 0.000, 0.284), Zn at (0.500, 0.000, 0.578) and Si at (0.000, 0.000, 0.719).

The calculation puts the total moment at 0.2 Bohr magnetons per cell. Its uncorrected formation energy is -0.5488 eV/atom.

=====

Which formula does entry 4 have?
SmErZnSi